Entry 1:
A plane-wave DFT calculation with PBE-GGA was carried out for In7Au after structural relaxation.

Geometry as POSCAR:
```
In7Au
1.0
1.618 -0.496 6.385
-4.267 -2.646 4.292
1.225 -5.927 2.646
In Au
7 1
direct
0.000 0.000 0.500
0.500 0.000 0.500
0.500 0.500 0.000
0.000 0.500 0.000
0.500 0.000 0.000
0.000 0.500 0.500
0.500 0.500 0.500
0.000 0.000 0.000
```

M_tot: 0.0 μB/cell
theoretical density: 8.15 g/cm³
formation energy: 10 meV/atom

=====

Entry 2:
A plane-wave DFT calculation with PBE-GGA was carried out for Na2Sn2Sb after structural relaxation.

Geometry as POSCAR:
```
Na2Sn2Sb
1.0
-3.255 8.451 -0.478
-2.929 -0.644 8.559
2.912 1.183 1.086
Sn Na Sb
4 4 2
direct
0.385 0.885 0.000
0.115 0.385 0.000
0.615 0.115 0.000
0.885 0.615 0.000
0.315 0.185 0.500
0.815 0.315 0.500
0.185 0.685 0.500
0.685 0.815 0.500
0.000 0.000 0.000
0.500 0.500 0.000
```

M_tot: 0.0 μB/cell
theoretical density: 4.92 g/cm³
relative energy among the computed polymorphs: 124 meV per atom
formation energy (no corrections): -0.06 eV/atom

=====

Question: Look up the M_tot of the first one.
Answer: 0.0 μB/cell

=====

Question: Among the records above, which one has the highest theoretical density?
Answer: In7Au